EuTlGe | GGA-PBE | optimized geometry

The structure belongs to space group F-43m (No. 216); the cell edges are 7.144, 7.144 and 7.144 Å and the angles 90.00°, 90.00° and 90.00°. Symmetry generates all atoms from Eu at (0.000, 0.000, 0.000), Tl at (0.000, 0.000, 0.500) and Ge at (0.250, 0.250, 0.750).

The calculation puts the calculated total energy at -72.566 eV/cell. The formation energy from the elements is -0.295 eV per atom. The excess energy over the best structure of this formula in the dataset is 61 meV per atom. Its crystal system is cubic.